<a>
LuMgSb2 | PBE | optimized geometry

POSCAR file:
```
LuMgSb2
1.0
-2.965 -0.517 -2.726
3.372 -1.033 -3.471
-0.251 -4.797 1.184
Sb Mg Lu
2 1 1
direct
0.000 0.000 0.500
0.000 0.500 0.000
0.500 0.000 0.000
0.500 0.500 0.500
```

Properties
Space group: P4/mmm, No. 123


<b>
LuMgSb2 | PBE | optimized geometry

POSCAR file:
```
LuMgSb2
1.0
-0.280 1.687 -3.919
-1.586 -2.324 -3.220
-7.059 2.140 -0.907
Mg Lu Sb
1 1 2
direct
0.000 0.000 0.000
0.500 0.500 0.500
0.252 0.252 0.244
0.748 0.748 0.756
```

Properties
Space group: R-3m, No. 166


Of them, <a> has the lowest stability.


<a>
Lu2MgSc | PBE | optimized geometry

POSCAR file:
```
Lu2MgSc
1.0
-0.899 4.663 -2.363
1.572 0.784 -5.005
-3.595 0.355 -3.884
Mg Lu Sc
1 2 1
direct
0.000 0.000 0.000
0.250 0.250 0.250
0.750 0.750 0.750
0.500 0.500 0.500
```

Properties
Space group: Fm-3m, No. 225


<b>
Lu2MgSc | PBE | optimized geometry

POSCAR file:
```
Lu2MgSc
1.0
3.362 0.000 0.000
1.681 2.912 0.000
1.681 0.971 11.019
Sc Lu Mg
1 2 1
direct
0.500 0.500 0.500
0.248 0.248 0.255
0.752 0.752 0.745
0.000 0.000 0.000
```

Properties
Space group: R-3m, No. 166


Of them, <a> has the lowest stability.


<a>
Lu2MgSc | PBE | optimized geometry

POSCAR file:
```
Lu2MgSc
1.0
4.407 0.000 0.000
0.000 4.920 0.000
0.000 0.000 4.920
Mg Lu Sc
1 2 1
direct
0.500 0.500 0.500
0.000 0.000 0.500
0.000 0.500 0.000
0.500 0.000 0.000
```

Properties
Space group: P4/mmm, No. 123


<b>
Lu2MgSc | PBE | optimized geometry

POSCAR file:
```
Lu2MgSc
1.0
3.457 0.000 0.000
0.000 3.457 0.000
0.000 0.000 8.944
Sc Lu Mg
1 2 1
direct
0.500 0.500 0.500
0.000 0.000 0.748
0.000 0.000 0.252
0.500 0.500 0.000
```

Properties
Space group: P4/mmm, No. 123


Of them, <a> has the lowest stability.